# 1
# Si2H2O5 (GGA-PBE, relaxed)
data_Si2H2O5
_chemical_formula_sum 'Si4 H4 O10'
_cell_length_a 4.830
_cell_length_b 6.403
_cell_length_c 8.202
_cell_angle_alpha 108.83
_cell_angle_beta 102.72
_cell_angle_gamma 94.69
_symmetry_space_group_name_H-M 'P 1'
_symmetry_Int_Tables_number 1
loop_
_symmetry_equiv_pos_as_xyz
'x,y,z'
loop_
_atom_site_label
_atom_site_type_symbol
_atom_site_fract_x
_atom_site_fract_y
_atom_site_fract_z
Si1 Si 0.000 0.000 0.000
Si2 Si 0.121 0.390 0.374
Si3 Si 0.468 0.694 0.984
Si4 Si 0.656 0.689 0.391
H1 H 0.189 0.247 0.867
H2 H 0.318 0.360 0.650
H3 H 0.859 0.996 0.649
H4 H 0.913 0.721 0.188
O1 O 0.066 0.093 0.849
O2 O 0.238 0.848 0.061
O3 O 0.298 0.299 0.517
O4 O 0.319 0.578 0.327
O5 O 0.343 0.445 0.861
O6 O 0.689 0.831 0.915
O7 O 0.708 0.701 0.188
O8 O 0.726 0.940 0.525
O9 O 0.863 0.519 0.438
O10 O 0.981 0.190 0.182
# Energy above the most stable polymorph in this dataset (kcal/mol of atoms): 2.39

=====

# 2
# Si2HO2 (GGA-PBE, relaxed)
data_Si2HO2
_chemical_formula_sum 'Si4 H2 O4'
_cell_length_a 5.466
_cell_length_b 5.466
_cell_length_c 3.279
_cell_angle_alpha 90.00
_cell_angle_beta 90.00
_cell_angle_gamma 90.00
_symmetry_space_group_name_H-M 'P 4/m b m'
_symmetry_Int_Tables_number 127
_symmetry_space_group_name_Hall '-P 4 2ab'
loop_
_atom_site_label
_atom_site_type_symbol
_atom_site_fract_x
_atom_site_fract_y
_atom_site_fract_z
Si1 Si 0.156 0.344 0.000
H1 H 0.000 0.000 0.000
O1 O 0.193 0.307 0.500
# Energy above the most stable polymorph in this dataset (kcal/mol of atoms): 0.00

=====

# 3
# Si2HO2 (GGA-PBE, relaxed)
data_Si2HO2
_chemical_formula_sum 'Si4 H2 O4'
_cell_length_a 3.354
_cell_length_b 3.354
_cell_length_c 8.544
_cell_angle_alpha 90.00
_cell_angle_beta 90.00
_cell_angle_gamma 90.00
_symmetry_space_group_name_H-M 'I 4/m m m'
_symmetry_Int_Tables_number 139
_symmetry_space_group_name_Hall '-I 4 2'
loop_
_atom_site_label
_atom_site_type_symbol
_atom_site_fract_x
_atom_site_fract_y
_atom_site_fract_z
Si1 Si 0.000 0.000 0.136
H1 H 0.000 0.000 0.500
O1 O 0.000 0.500 0.250
# Energy above the most stable polymorph in this dataset (kcal/mol of atoms): 6.57

=====

# 4
# Si2HO (GGA-PBE, relaxed)
data_Si2HO
_chemical_formula_sum 'Si8 H4 O4'
_cell_length_a 5.536
_cell_length_b 5.536
_cell_length_c 5.536
_cell_angle_alpha 90.00
_cell_angle_beta 90.00
_cell_angle_gamma 90.00
_symmetry_space_group_name_H-M 'F m -3 m'
_symmetry_Int_Tables_number 225
_symmetry_space_group_name_Hall '-F 4 2 3'
loop_
_atom_site_label
_atom_site_type_symbol
_atom_site_fract_x
_atom_site_fract_y
_atom_site_fract_z
Si1 Si 0.250 0.250 0.250
H1 H 0.000 0.000 0.000
O1 O 0.000 0.000 0.500
# Energy above the most stable polymorph in this dataset (kcal/mol of atoms): 10.60

=====

# 5
# SiH2O (GGA-PBE, relaxed)
data_SiH2O
_chemical_formula_sum 'Si1 H2 O1'
_cell_length_a 2.535
_cell_length_b 3.393
_cell_length_c 4.928
_cell_angle_alpha 83.53
_cell_angle_beta 86.68
_cell_angle_gamma 89.94
_symmetry_space_group_name_H-M 'P 1'
_symmetry_Int_Tables_number 1
loop_
_symmetry_equiv_pos_as_xyz
'x,y,z'
loop_
_atom_site_label
_atom_site_type_symbol
_atom_site_fract_x
_atom_site_fract_y
_atom_site_fract_z
Si1 Si 0.000 0.000 0.000
H1 H 0.006 0.510 0.926
H2 H 0.597 0.920 0.422
O1 O 0.971 0.941 0.348
# Energy above the most stable polymorph in this dataset (kcal/mol of atoms): 8.73

=====

# 6
Density functional theory data (GGA-PBE) for a relaxed structure of SiH5O4.

Geometry as CIF:
```
data_SiH5O4
_chemical_formula_sum 'Si2 H10 O8'
_cell_length_a 5.032
_cell_length_b 9.334
_cell_length_c 4.479
_cell_angle_alpha 90.00
_cell_angle_beta 90.00
_cell_angle_gamma 90.00
_symmetry_space_group_name_H-M 'P m m n'
_symmetry_Int_Tables_number 59
loop_
_symmetry_equiv_pos_as_xyz
'x,y,z'
'-x,-y,-z'
'-x+1/2,-y+1/2,z'
'x+1/2,y+1/2,-z'
'x+1/2,-y,-z'
'-x+1/2,y,z'
'-x,y+1/2,-z'
'x,-y+1/2,z'
loop_
_atom_site_label
_atom_site_type_symbol
_atom_site_fract_x
_atom_site_fract_y
_atom_site_fract_z
Si1 Si 0.250 0.250 0.180
H1 H 0.097 0.099 0.654
H2 H 0.250 0.750 0.001
O1 O 0.011 0.750 0.030
O2 O 0.250 0.062 0.538
```

=====

# 7
Density functional theory data (GGA-PBE) for a relaxed structure of SrSiH2O4.

Geometry as CIF:
```
data_SrSiH2O4
_chemical_formula_sum 'Sr2 Si2 H4 O8'
_cell_length_a 4.206
_cell_length_b 6.002
_cell_length_c 6.623
_cell_angle_alpha 90.00
_cell_angle_beta 90.00
_cell_angle_gamma 90.00
_symmetry_space_group_name_H-M 'I 2 2 2'
_symmetry_Int_Tables_number 23
loop_
_symmetry_equiv_pos_as_xyz
'x,y,z'
'-x,-y,z'
'x,-y,-z'
'-x,y,-z'
'x+1/2,y+1/2,z+1/2'
'-x+1/2,-y+1/2,z+1/2'
'x+1/2,-y+1/2,-z+1/2'
'-x+1/2,y+1/2,-z+1/2'
loop_
_atom_site_label
_atom_site_type_symbol
_atom_site_fract_x
_atom_site_fract_y
_atom_site_fract_z
Sr1 Sr 0.000 0.000 0.000
Si1 Si 0.000 0.000 0.500
H1 H 0.000 0.500 0.152
O1 O 0.242 0.376 0.846
```

=====

# 8
Density functional theory data (GGA-PBE) for a relaxed structure of TaSiHO2.

Geometry as CIF:
```
data_TaSiHO2
_chemical_formula_sum 'Ta1 Si1 H1 O2'
_cell_length_a 4.009
_cell_length_b 4.009
_cell_length_c 3.749
_cell_angle_alpha 90.00
_cell_angle_beta 90.00
_cell_angle_gamma 90.00
_symmetry_space_group_name_H-M 'P 4/m m m'
_symmetry_Int_Tables_number 123
_symmetry_space_group_name_Hall '-P 4 2'
loop_
_atom_site_label
_atom_site_type_symbol
_atom_site_fract_x
_atom_site_fract_y
_atom_site_fract_z
Ta1 Ta 0.000 0.000 0.000
Si1 Si 0.500 0.500 0.500
H1 H 0.000 0.000 0.500
O1 O 0.000 0.500 0.000
```

=====

Magnetization across the listed records, respectively: 0.04 0.00 0.00 0.00 0.00 0.83 0.00 0.00 μB per formula unit.
DFT total energy across the listed records, respectively: -6.8020 -5.6877 -5.4030 -4.2160 -4.8389 -5.2153 -6.3144 -6.8838 eV per atom.